VASP calculation (GGA-PBE) on a relaxed SrTcNiBi2 crystal.

```
SrTcNiBi2
1.0
5.119 0.000 0.000
0.000 5.119 0.000
0.000 0.000 5.248
Sr Tc Ni Bi
1 1 1 2
Direct
0.000 0.000 0.000
0.500 0.500 0.000
0.000 0.000 0.500
0.000 0.500 0.500
0.500 0.000 0.500
```

Values from the calculation:
total magnetic moment: 2.9 μB per cell
formation enthalpy at 0 K: 0.6855 eV/atom
N(E_F): 4.48 states/eV/cell